The following is a DFT calculation (PBE) of a geometry-optimized MgSiOs2 structure.

- energy (eV/atom) = -7.176

Unit cell a=4.801 b=4.801 c=4.801 alpha=133.58 beta=133.58 gamma=67.75
Fractional coordinates of all 4 atoms:
Si: 0.500 0.500 0.000
Mg: 0.750 0.250 0.500
Os: 0.250 0.750 0.500
Os: 0.000 0.000 0.000